(1)
A relaxed structure of Li6CuNi, computed with PBE.

Unit cell a=4.2592 b=5.3078 c=5.3078 alpha=83.45 beta=90.00 gamma=90.00
Closest atoms and distances in Å follow each position.
Fractional positions:
Ni1 0.0000 0.1630 0.8370  2 Cu 2.44, 6 Li 2.62-2.72
Li1 0.5000 0.4034 0.1464  7 Li 2.53-2.83, 2 Cu 2.61-2.75
Li2 0.0000 0.6480 0.9041  8 Li 2.55-2.84, 2 Ni 2.64-2.72
Li3 0.0000 0.5578 0.4422  8 Li 2.55-2.84, 2 Cu 2.66, 1 Ni 2.79
Li4 0.5000 0.9458 0.0542  6 Li 2.53-2.82, 2 Ni 2.62, 1 Cu 2.73
Li5 0.0000 0.0959 0.3520  8 Li 2.55-2.84, 2 Ni 2.64-2.72
Li6 0.5000 0.8536 0.5966  7 Li 2.53-2.83, 2 Cu 2.61-2.75
Cu1 0.5000 0.3325 0.6675  2 Ni 2.44, 5 Li 2.61-2.73

Summary:
The energy of formation comes out at 0.036 eV per atom. Its space group is Amm2, No. 38. The energy above the most stable polymorph in this dataset is 0 meV per atom. The total energy comes out at -2.63 eV per atom.

***

(2)
A relaxed structure of CeTh2Os, computed with PBE.

Unit cell a=3.6379 b=3.6379 c=7.8256 alpha=90.00 beta=90.00 gamma=90.00
Closest atoms and distances in Å follow each position.
Fractional positions:
Th1 0.0000 0.0000 0.2134  4 Os 3.07, 1 Th 3.34, 4 Ce 3.41
Th2 0.0000 0.0000 0.7866  4 Os 3.07, 1 Th 3.34, 4 Ce 3.41
Ce1 0.5000 0.5000 0.5000  8 Th 3.41, 4 Ce 3.64
Os1 0.5000 0.5000 0.0000  8 Th 3.07

Summary:
The energy of formation comes out at -0.047 eV per atom. Its space group is P4/mmm, No. 123. The energy above the most stable polymorph in this dataset is 152 meV per atom. The total energy comes out at -8.05 eV per atom.

***

(3)
A relaxed structure of Sn2SBr, computed with PBE.

Unit cell a=6.6178 b=7.2937 c=11.4669 alpha=101.50 beta=99.08 gamma=114.27
Closest atoms and distances in Å follow each position.
Fractional positions:
S1 0.6378 0.8878 0.7756  4 Sn 2.64-2.73
S2 0.8938 0.1438 0.2877  4 Sn 2.70-2.72
S3 0.1062 0.8562 0.7123  4 Sn 2.70-2.72
S4 0.3622 0.1122 0.2244  4 Sn 2.64-2.73
Sn1 0.0786 0.2344 0.0983  2 S 2.72-2.73
Sn2 0.2539 0.5773 0.6217  2 S 2.64-2.70
Sn3 0.1322 0.9556 0.3783  2 S 2.64-2.70
Sn4 0.7461 0.4227 0.3783  2 S 2.64-2.70
Sn5 0.9214 0.7656 0.9017  2 S 2.72-2.73
Sn6 0.4803 0.1361 0.9017  2 S 2.72-2.73
Sn7 0.8678 0.0444 0.6217  2 S 2.64-2.70
Sn8 0.5197 0.8639 0.0983  2 S 2.72-2.73
Br1 0.4548 0.7048 0.4095  4 Sn 3.08-3.36
Br2 0.5452 0.2952 0.5905  4 Sn 3.08-3.36
Br3 0.1680 0.4180 0.8360  2 Sn 2.96
Br4 0.8320 0.5820 0.1640  2 Sn 2.96

Summary:
Its space group is C2/c, No. 15. The energy above the most stable polymorph in this dataset is 0 meV per atom. The total energy comes out at -3.82 eV per atom. For the formation energy from raw total energies, the calculation gives -0.3669 eV/atom.

***

(4)
A relaxed structure of ZrMnTe2, computed with PBE.

Unit cell a=5.0392 b=5.0392 c=5.0392 alpha=60.00 beta=60.00 gamma=60.00
Closest atoms and distances in Å follow each position.
Fractional positions:
Te1 0.7500 0.7500 0.7500  4 Mn 3.09, 4 Te 3.09
Te2 0.0000 0.0000 0.0000  4 Zr 3.09, 4 Te 3.09
Mn1 0.5000 0.5000 0.5000  4 Zr 3.09, 4 Te 3.09
Zr1 0.2500 0.2500 0.2500  4 Te 3.09, 4 Mn 3.09

Summary:
Its space group is F-43m, No. 216. The energy above the most stable polymorph in this dataset is 723 meV per atom. The total energy comes out at -5.76 eV per atom. For the formation energy from raw total energies, the calculation gives 0.2382 eV/atom.

***

(5)
A relaxed structure of SrAg8Pt2, computed with PBE.

Unit cell a=5.7428 b=5.7428 c=8.6269 alpha=90.00 beta=90.00 gamma=90.00
Closest atoms and distances in Å follow each position.
Fractional positions:
Ag1 0.7511 0.2489 0.7914  2 Pt 2.71, 4 Ag 2.86-2.88
Ag2 0.7511 0.7511 0.7914  2 Pt 2.71, 4 Ag 2.86-2.88
Ag3 0.2489 0.2489 0.2086  2 Pt 2.71, 4 Ag 2.86-2.88
Ag4 0.2489 0.7511 0.7914  2 Pt 2.71, 4 Ag 2.86-2.88
Ag5 0.7511 0.7511 0.2086  2 Pt 2.71, 4 Ag 2.86-2.88
Ag6 0.2489 0.7511 0.2086  2 Pt 2.71, 4 Ag 2.86-2.88
Ag7 0.7511 0.2489 0.2086  2 Pt 2.71, 4 Ag 2.86-2.88
Ag8 0.2489 0.2489 0.7914  2 Pt 2.71, 4 Ag 2.86-2.88
Sr1 0.5000 0.5000 0.5000  8 Ag 3.24
Pt1 0.0000 0.5000 0.0000  8 Ag 2.71
Pt2 0.5000 0.0000 0.0000  8 Ag 2.71

Summary:
The energy of formation comes out at 0.266 eV per atom. Its space group is P4/mmm, No. 123. The total energy comes out at -3.06 eV per atom.

***

(6)
A relaxed structure of NbOsPd2, computed with PBE.

Unit cell a=4.1080 b=3.8780 c=3.8780 alpha=90.00 beta=90.00 gamma=90.00
Closest atoms and distances in Å follow each position.
Fractional positions:
Pd1 0.0000 0.0000 0.5000  4 Pd 2.74, 4 Nb 2.82, 4 Os 2.82
Pd2 0.0000 0.5000 0.0000  4 Pd 2.74, 4 Os 2.82, 4 Nb 2.82
Os1 0.5000 0.5000 0.5000  4 Nb 2.74, 8 Pd 2.82
Nb1 0.5000 0.0000 0.0000  4 Os 2.74, 8 Pd 2.82

Summary:
The energy of formation comes out at -0.187 eV per atom. Its space group is P4/mmm, No. 123. The energy above the most stable polymorph in this dataset is 0 meV per atom. The total energy comes out at -8.11 eV per atom.